DFT (PBE) results for an optimized crystal structure of LiHgB.

Summary:
**Uncorrected energy**: -2.44 eV per atom
**E above lowest polymorph**: 0 meV per atom

Unit cell a=5.557 b=5.557 c=5.557 alpha=90.00 beta=90.00 gamma=90.00
Space group F-43m (No. 216)
Asymmetric unit:
1 Li 0.000 0.000 0.000 [4 per cell]
2 Hg 0.000 0.000 0.500 [4 per cell]
3 B 0.250 0.250 0.750 [4 per cell]